Density functional theory data (GGA-PBE) for a relaxed structure of LaErTe2Se.

Total DFT energy (no corrections) ... -5.324 eV per atom
Volume ... 306 Å³/cell

Unit cell a=4.419 b=4.419 c=15.675 alpha=90.00 beta=90.00 gamma=90.00
Space group P4/nmm (No. 129, origin choice 2)
One atom of each set of equivalent atoms:
La  0.250  0.250  0.131 x2
Er  0.250  0.250  0.594 x2
Te  0.250  0.250  0.397 x2
Te  0.250  0.250  0.786 x2
Se  0.250  0.750  0.000 x2

=====

Density functional theory data (GGA-PBE) for a relaxed structure of LaEr2ThSe4.

Total DFT energy (no corrections) ... -6.155 eV per atom
Volume ... 202 Å³/cell

Unit cell a=7.080 b=4.070 c=7.379 alpha=90.00 beta=108.59 gamma=90.00
Space group P2/m (No. 10)
One atom of each set of equivalent atoms:
La  0.000  0.000  0.000 x1
Er  0.000  0.500  0.500 x1
Er  0.500  0.000  0.500 x1
Th  0.500  0.500  0.000 x1
Se  0.246  0.000  0.730 x2
Se  0.260  0.500  0.272 x2

=====

Looking at formation energy from raw total energies for the records above, in order, we have -1473; -1729 meV per atom.